Entry 1:
VASP calculation (PBE) on an optimized crystal structure of Tm4Mg2Sc.

Unit cell a=5.3067 b=5.3067 c=8.4367 alpha=71.67 beta=71.67 gamma=60.00
With the nearest neighbours (Å) after each atom.
Element x y z (fractional)
1 Tm 0.7929 0.7929 0.6213  3 Sc 3.21, 4 Tm 3.25-3.34, 1 Mg 3.44
2 Tm 0.9306 0.9306 0.2082  5 Tm 3.25-3.34, 3 Mg 3.28
3 Tm 0.2071 0.2071 0.3787  3 Sc 3.21, 4 Tm 3.25-3.34, 1 Mg 3.44
4 Tm 0.0694 0.0694 0.7918  5 Tm 3.25-3.34, 3 Mg 3.28
5 Mg 0.6470 0.6470 0.0590  3 Mg 3.20, 4 Tm 3.28-3.44, 1 Sc 3.47
6 Mg 0.3530 0.3530 0.9410  3 Mg 3.20, 4 Tm 3.28-3.44, 1 Sc 3.47
7 Sc 0.5000 0.5000 0.5000  6 Tm 3.21, 2 Mg 3.47

Values from the calculation:
* DFT formation energy: 66 meV/atom
* crystal system: trigonal
* relative energy among the computed polymorphs: 0.15 eV/f.u.

***

Entry 2:
VASP calculation (PBE) on an optimized crystal structure of SmAlTc.

Unit cell a=5.3977 b=5.4665 c=5.4665 alpha=63.45 beta=60.42 gamma=60.42
With the nearest neighbours (Å) after each atom.
Element x y z (fractional)
1 Sm 0.8849 0.3651 0.3651  6 Tc 3.08-3.34, 6 Al 3.18-3.25, 4 Sm 3.36-3.39
2 Sm 0.1151 0.6349 0.6349  6 Tc 3.08-3.34, 6 Al 3.18-3.25, 4 Sm 3.36-3.39
3 Al 0.5000 0.5000 0.0000  4 Tc 2.73, 2 Al 2.87
4 Al 0.5000 0.0000 0.5000  4 Tc 2.73, 2 Al 2.87
5 Tc 0.0000 0.0000 0.0000  2 Tc 2.70, 4 Al 2.73
6 Tc 0.5000 0.0000 0.0000  2 Tc 2.70, 4 Al 2.73

Values from the calculation:
* DFT formation energy: -356 meV/atom
* crystal system: orthorhombic
* relative energy among the computed polymorphs: 0.00 eV/f.u.

***

> What is the DFT formation energy in the second record?

-356 meV/atom